Version a
{
  "formula": "Er3Tm8",
  "functional": "GGA-PBE",
  "state": "optimized geometry",
  "dos_ef_per_ev_fu": 13.2,
  "total_magnetization_mub_per_cell": 0.000,
  "sg": "No. 148",
  "lattice_angstrom": [[7.398, 0.967, 0.944], [1.155, 7.371, 0.944], [1.155, 1.126, 7.345]],
  "species": ["Er", "Er", "Er", "Tm", "Tm", "Tm", "Tm", "Tm", "Tm", "Tm", "Tm"],
  "frac_coords": [[0.500, 0.000, 0.500], [0.000, 0.500, 0.500], [0.500, 0.500, 0.000], [0.860, 0.248, 0.244], [0.248, 0.244, 0.860], [0.244, 0.860, 0.248], [0.418, 0.418, 0.418], [0.582, 0.582, 0.582], [0.756, 0.140, 0.752], [0.752, 0.756, 0.140], [0.140, 0.752, 0.756]]
}



Version b
{
  "formula": "Er3Tm8",
  "functional": "GGA-PBE",
  "state": "optimized geometry",
  "dos_ef_per_ev_fu": 18.0,
  "total_magnetization_mub_per_cell": 0.000,
  "sg": "No. 12",
  "lattice_angstrom": [[5.395, -0.011, 0.524], [2.663, 4.692, 0.525], [1.338, 0.776, 14.487]],
  "species": ["Er", "Er", "Er", "Tm", "Tm", "Tm", "Tm", "Tm", "Tm", "Tm", "Tm"],
  "frac_coords": [[0.855, 0.855, 0.435], [0.145, 0.145, 0.565], [0.000, 0.000, 0.000], [0.693, 0.693, 0.917], [0.229, 0.230, 0.317], [0.771, 0.770, 0.683], [0.307, 0.307, 0.083], [0.603, 0.603, 0.198], [0.068, 0.068, 0.789], [0.932, 0.932, 0.211], [0.397, 0.397, 0.802]]
}



Name the most stable of them. version b.



Version a
{
  "formula": "ErTm4",
  "functional": "GGA-PBE",
  "state": "optimized geometry",
  "dos_ef_per_ev_fu": 7.6,
  "total_magnetization_mub_per_cell": 0.000,
  "sg": "No. 12",
  "lattice_angstrom": [[-0.771, 3.001, -1.599], [-3.272, 1.204, 0.046], [1.459, 8.464, 11.466]],
  "species": ["Er", "Tm", "Tm", "Tm", "Tm"],
  "frac_coords": [[0.000, 0.000, 0.000], [0.200, 0.200, 0.400], [0.800, 0.800, 0.600], [0.601, 0.601, 0.201], [0.399, 0.399, 0.799]]
}



Version b
{
  "formula": "ErTm4",
  "functional": "GGA-PBE",
  "state": "optimized geometry",
  "dos_ef_per_ev_fu": 8.6,
  "total_magnetization_mub_per_cell": 0.002,
  "sg": "No. 13",
  "lattice_angstrom": [[6.067, -0.251, 0.000], [-2.290, 5.746, 0.000], [0.000, 0.000, 9.011]],
  "species": ["Er", "Er", "Tm", "Tm", "Tm", "Tm", "Tm", "Tm", "Tm", "Tm"],
  "frac_coords": [[0.250, 0.000, 0.883], [0.750, 0.000, 0.117], [0.003, 0.255, 0.438], [0.567, 0.662, 0.821], [0.433, 0.338, 0.179], [0.997, 0.745, 0.562], [0.933, 0.338, 0.821], [0.503, 0.255, 0.562], [0.497, 0.745, 0.438], [0.067, 0.662, 0.179]]
}



Version c
{
  "formula": "ErTm4",
  "functional": "GGA-PBE",
  "state": "optimized geometry",
  "dos_ef_per_ev_fu": 6.9,
  "total_magnetization_mub_per_cell": 0.002,
  "sg": "No. 221",
  "lattice_angstrom": [[-4.135, -0.822, -3.612], [-0.831, -5.069, 2.106], [-3.610, 2.109, 3.653]],
  "species": ["Tm", "Tm", "Tm", "Tm", "Er"],
  "frac_coords": [[0.000, 0.000, 0.000], [0.500, 0.000, 0.500], [0.000, 0.500, 0.500], [0.500, 0.500, 0.000], [0.500, 0.500, 0.500]]
}



Name the most stable of them. version a.



Version a
{
  "formula": "Er5Tm7",
  "functional": "GGA-PBE",
  "state": "optimized geometry",
  "dos_ef_per_ev_fu": 19.6,
  "total_magnetization_mub_per_cell": 0.000,
  "sg": "No. 12",
  "lattice_angstrom": [[5.529, 0.000, 0.000], [-2.764, 4.747, -0.266], [0.000, -2.387, 14.247]],
  "species": ["Er", "Er", "Er", "Er", "Er", "Tm", "Tm", "Tm", "Tm", "Tm", "Tm", "Tm"],
  "frac_coords": [[0.145, 0.291, 0.440], [0.855, 0.709, 0.560], [0.392, 0.785, 0.191], [0.608, 0.215, 0.809], [0.000, 0.000, 0.000], [0.228, 0.457, 0.674], [0.772, 0.543, 0.326], [0.065, 0.131, 0.213], [0.935, 0.869, 0.787], [0.691, 0.381, 0.077], [0.500, 0.000, 0.500], [0.309, 0.619, 0.923]]
}



Version b
{
  "formula": "Er5Tm7",
  "functional": "GGA-PBE",
  "state": "optimized geometry",
  "dos_ef_per_ev_fu": 16.8,
  "total_magnetization_mub_per_cell": 0.001,
  "sg": "No. 12",
  "lattice_angstrom": [[3.458, 0.000, 0.545], [1.385, 8.830, 2.452], [-0.094, 0.202, 11.830]],
  "species": ["Er", "Er", "Er", "Er", "Er", "Tm", "Tm", "Tm", "Tm", "Tm", "Tm", "Tm"],
  "frac_coords": [[0.833, 0.833, 0.500], [0.167, 0.167, 0.500], [0.694, 0.361, 0.250], [0.306, 0.639, 0.750], [0.000, 0.000, 0.000], [0.639, 0.972, 0.750], [0.361, 0.028, 0.250], [0.028, 0.695, 0.250], [0.972, 0.305, 0.750], [0.333, 0.334, 0.000], [0.500, 0.500, 0.500], [0.667, 0.666, 0.000]]
}



Name the most stable of them. version b.



Version a
{
  "formula": "Er7Tm2",
  "functional": "GGA-PBE",
  "state": "optimized geometry",
  "dos_ef_per_ev_fu": 17.1,
  "total_magnetization_mub_per_cell": 2.078,
  "sg": "No. 189",
  "lattice_angstrom": [[-2.712, -2.129, 0.662], [-0.136, -2.665, -9.130], [5.297, -4.798, 6.277]],
  "species": ["Er", "Er", "Er", "Er", "Er", "Er", "Er", "Tm", "Tm"],
  "frac_coords": [[0.500, 0.637, 0.000], [0.500, 0.000, 0.637], [0.500, 0.363, 0.363], [0.000, 0.305, 0.000], [0.000, 0.000, 0.305], [0.000, 0.695, 0.695], [0.500, 0.000, 0.000], [0.000, 0.667, 0.333], [0.000, 0.333, 0.667]]
}



Version b
{
  "formula": "Er7Tm2",
  "functional": "GGA-PBE",
  "state": "optimized geometry",
  "dos_ef_per_ev_fu": 14.0,
  "total_magnetization_mub_per_cell": 0.001,
  "sg": "No. 162",
  "lattice_angstrom": [[-2.577, -5.339, 1.214], [5.949, 0.745, 0.821], [-1.429, 2.524, 8.064]],
  "species": ["Er", "Er", "Er", "Er", "Er", "Er", "Er", "Tm", "Tm"],
  "frac_coords": [[0.000, 0.000, 0.000], [0.667, 0.000, 0.333], [0.000, 0.667, 0.333], [0.333, 0.333, 0.333], [0.000, 0.333, 0.667], [0.333, 0.000, 0.667], [0.667, 0.667, 0.667], [0.333, 0.667, 0.000], [0.667, 0.333, 0.000]]
}



Name the most stable of them. version b.



Version a
{
  "formula": "Er13Tm2",
  "functional": "GGA-PBE",
  "state": "optimized geometry",
  "dos_ef_per_ev_fu": 18.9,
  "total_magnetization_mub_per_cell": 0.000,
  "sg": "No. 166",
  "lattice_angstrom": [[0.334, 4.728, 7.364], [7.670, 3.113, 2.861], [1.560, 9.163, -0.747]],
  "species": ["Er", "Er", "Er", "Er", "Er", "Er", "Er", "Er", "Er", "Er", "Er", "Er", "Er", "Tm", "Tm"],
  "frac_coords": [[0.500, 0.500, 0.500], [0.608, 0.242, 0.909], [0.242, 0.242, 0.909], [0.242, 0.608, 0.909], [0.758, 0.392, 0.091], [0.392, 0.758, 0.091], [0.758, 0.758, 0.091], [0.652, 0.013, 0.322], [0.013, 0.013, 0.322], [0.013, 0.652, 0.322], [0.987, 0.348, 0.678], [0.348, 0.987, 0.678], [0.987, 0.987, 0.678], [0.241, 0.241, 0.276], [0.759, 0.759, 0.724]]
}



Version b
{
  "formula": "Er13Tm2",
  "functional": "GGA-PBE",
  "state": "optimized geometry",
  "dos_ef_per_ev_fu": 25.7,
  "total_magnetization_mub_per_cell": 0.000,
  "sg": "No. 2",
  "lattice_angstrom": [[6.460, -0.208, 0.675], [-1.079, 8.753, 0.311], [0.376, -3.882, 7.916]],
  "species": ["Er", "Er", "Er", "Er", "Er", "Er", "Er", "Er", "Er", "Er", "Er", "Er", "Er", "Tm", "Tm"],
  "frac_coords": [[0.711, 0.625, 0.019], [0.289, 0.375, 0.981], [0.000, 0.000, 0.000], [0.312, 0.049, 0.642], [0.688, 0.951, 0.358], [0.105, 0.549, 0.747], [0.895, 0.451, 0.253], [0.398, 0.601, 0.402], [0.602, 0.399, 0.598], [0.486, 0.830, 0.837], [0.514, 0.170, 0.163], [0.803, 0.202, 0.800], [0.197, 0.798, 0.200], [0.905, 0.786, 0.584], [0.095, 0.214, 0.416]]
}



Name the most stable of them. version b.



Version a
{
  "formula": "ErTm6",
  "functional": "GGA-PBE",
  "state": "optimized geometry",
  "dos_ef_per_ev_fu": 10.7,
  "total_magnetization_mub_per_cell": 0.000,
  "sg": "No. 229",
  "lattice_angstrom": [[-1.884, 1.844, -6.451], [-5.154, -3.623, 2.979], [1.298, 5.718, 3.765]],
  "species": ["Er", "Tm", "Tm", "Tm", "Tm", "Tm", "Tm"],
  "frac_coords": [[0.000, 0.000, 0.000], [0.250, 0.750, 0.500], [0.500, 0.750, 0.250], [0.250, 0.500, 0.750], [0.750, 0.250, 0.500], [0.500, 0.250, 0.750], [0.750, 0.500, 0.250]]
}



Version b
{
  "formula": "ErTm6",
  "functional": "GGA-PBE",
  "state": "optimized geometry",
  "dos_ef_per_ev_fu": 9.0,
  "total_magnetization_mub_per_cell": 0.011,
  "sg": "No. 125",
  "lattice_angstrom": [[6.393, 0.000, 0.000], [0.000, 6.393, 0.000], [0.000, 0.000, 10.797]],
  "species": ["Er", "Er", "Tm", "Tm", "Tm", "Tm", "Tm", "Tm", "Tm", "Tm", "Tm", "Tm", "Tm", "Tm"],
  "frac_coords": [[0.500, 0.000, 0.000], [0.000, 0.500, 0.000], [0.500, 0.500, 0.141], [0.000, 0.000, 0.141], [0.000, 0.000, 0.859], [0.500, 0.500, 0.859], [0.831, 0.669, 0.363], [0.331, 0.831, 0.363], [0.669, 0.169, 0.363], [0.169, 0.331, 0.363], [0.669, 0.831, 0.637], [0.169, 0.669, 0.637], [0.831, 0.331, 0.637], [0.331, 0.169, 0.637]]
}



Name the most stable of them. version b.